No. 1
First-principles (PBE) data for crystalline SrPm2F at its relaxed geometry, as listed in Alexandria.

Computed properties:
formation energy (no corrections): -0.94 eV per atom

Cell: 3.854 3.854 9.944 Å, 78.82 78.82 60.00°
Element x y z (fractional)
Pm (0.121, 0.121, 0.638)
Sr (0.000, 0.000, 0.000)
F (0.500, 0.500, 0.500)
Pm (0.879, 0.879, 0.362)

No. 2
First-principles (PBE) data for crystalline SrPmF at its relaxed geometry, as listed in Alexandria.

Computed properties:
formation energy (no corrections): -1.81 eV per atom

Cell: 3.929 3.929 13.449 Å, 81.69 81.69 60.04°
Element x y z (fractional)
Sr (0.164, 0.164, 0.791)
F (0.230, 0.230, 0.591)
F (0.522, 0.522, 0.717)
Pm (0.745, 0.745, 0.049)
Pm (0.010, 0.010, 0.258)
Sr (0.588, 0.588, 0.516)

VASP energy, record by record: -4.21 -4.58 eV per atom